A plane-wave DFT calculation with GGA-PBE was carried out for a geometry-optimized SrBiOF2 structure.

The structure belongs to space group P4/mmm (No. 123); the cell edges are 4.514, 4.514 and 4.944 Å and the angles 90.00°, 90.00° and 90.00°. The inequivalent atoms are Sr at (0.000, 0.000, 0.000), Bi at (0.500, 0.500, 0.500), O at (0.000, 0.000, 0.500) and F at (0.000, 0.500, 0.000).

The formation energy from raw total energies comes out at -1824 meV/atom. As for the total energy: -4.677 eV per atom. The calculation puts the energy relative to the lowest polymorph listed for this composition at 6.7 kJ/mol of atoms.